Entry 1:
# PBE-GGA RbCuSbRu2, relaxed
data_RbCuSbRu2
_cell_length_a 4.741
_cell_length_b 4.741
_cell_length_c 5.220
_cell_angle_alpha 90.00
_cell_angle_beta 90.00
_cell_angle_gamma 90.00
_space_group_name_H-M_alt 'P 4/m m m'
_space_group_IT_number 123
_space_group_name_Hall '-P 4 2'
loop_
_atom_site_label
_atom_site_fract_x
_atom_site_fract_y
_atom_site_fract_z
Rb1 0.000 0.000 0.000
Cu1 0.000 0.000 0.500
Sb1 0.500 0.500 0.000
Ru1 0.000 0.500 0.500
# Total energy = -20.36 eV per formula unit
# Formation energy (no corrections) = 1.476 eV per atom


Entry 2:
# PBE-GGA HfRu2C, relaxed
data_HfRu2C
_cell_length_a 6.765
_cell_length_b 6.765
_cell_length_c 4.977
_cell_angle_alpha 90.00
_cell_angle_beta 90.00
_cell_angle_gamma 90.00
_space_group_name_H-M_alt 'I -4 2 d'
_space_group_IT_number 122
_space_group_name_Hall 'I -4 2bw'
loop_
_atom_site_label
_atom_site_fract_x
_atom_site_fract_y
_atom_site_fract_z
Hf1 0.000 0.000 0.000
Ru1 0.133 0.250 0.625
C1 0.000 0.000 0.500
# Energy above the most stable polymorph in this dataset = 0.00 eV/f.u.
# Total energy = -38.28 eV per formula unit
# ΔE_f = -138 meV per atom


Entry 3:
# PBE-GGA HfPaC2, relaxed
data_HfPaC2
_cell_length_a 3.3655
_cell_length_b 3.3655
_cell_length_c 11.6181
_cell_angle_alpha 90.00
_cell_angle_beta 90.00
_cell_angle_gamma 120.00
_space_group_name_H-M_alt 'P 63/m m c'
_space_group_IT_number 194
_space_group_name_Hall '-P 6c 2c'
loop_
_atom_site_label
_atom_site_fract_x
_atom_site_fract_y
_atom_site_fract_z
Hf1 0.0000 0.0000 0.0000
Pa1 0.3333 0.6667 0.2500
C1 0.3333 0.6667 0.6151
# Energy above the most stable polymorph in this dataset = 0.00 eV/f.u.
# Total energy = -40.54 eV per formula unit
# ΔE_f = -660 meV per atom


Entry 4:
# PBE-GGA ZrGaNi3, relaxed
data_ZrGaNi3
_cell_length_a 4.640
_cell_length_b 4.640
_cell_length_c 4.640
_cell_angle_alpha 90.00
_cell_angle_beta 90.00
_cell_angle_gamma 90.00
_space_group_name_H-M_alt 'P m -3 m'
_space_group_IT_number 221
_space_group_name_Hall '-P 4 2 3'
loop_
_atom_site_label
_atom_site_fract_x
_atom_site_fract_y
_atom_site_fract_z
Zr1 0.000 0.000 0.000
Ga1 0.500 0.500 0.500
Ni1 0.000 0.000 0.500
# Energy above the most stable polymorph in this dataset = 7.27 eV/f.u.
# Total energy = -23.36 eV per formula unit
# ΔE_f = 1111 meV per atom


Entry 5:
# PBE-GGA Al2CuI, relaxed
data_Al2CuI
_cell_length_a 7.045
_cell_length_b 7.045
_cell_length_c 7.045
_cell_angle_alpha 90.00
_cell_angle_beta 90.00
_cell_angle_gamma 90.00
_space_group_name_H-M_alt 'F m -3 m'
_space_group_IT_number 225
_space_group_name_Hall '-F 4 2 3'
loop_
_atom_site_label
_atom_site_fract_x
_atom_site_fract_y
_atom_site_fract_z
Al1 0.250 0.250 0.250
Cu1 0.000 0.000 0.000
I1 0.000 0.000 0.500
# Energy above the most stable polymorph in this dataset = 1.35 eV/f.u.
# Total energy = -10.57 eV per formula unit
# Formation energy (no corrections) = 0.642 eV per atom


Entry 6:
# PBE-GGA AcPuTeP, relaxed
data_AcPuTeP
_cell_length_a 4.3661
_cell_length_b 4.3661
_cell_length_c 22.1246
_cell_angle_alpha 90.00
_cell_angle_beta 90.00
_cell_angle_gamma 120.00
_space_group_name_H-M_alt 'R 3 m'
_space_group_IT_number 160
_space_group_name_Hall 'R 3 -2"'
loop_
_atom_site_label
_atom_site_fract_x
_atom_site_fract_y
_atom_site_fract_z
Ac1 0.0000 0.0000 0.0000
Pu1 0.0000 0.0000 0.4783
Te1 0.0000 0.0000 0.2317
P1 0.0000 0.0000 0.7463
# Total energy = -32.29 eV per formula unit
# Formation energy (no corrections) = -1.325 eV per atom


Entry 7:
# PBE-GGA CsMgUO4, relaxed
data_CsMgUO4
_cell_length_a 7.241
_cell_length_b 7.413
_cell_length_c 9.257
_cell_angle_alpha 90.00
_cell_angle_beta 90.00
_cell_angle_gamma 90.00
_space_group_name_H-M_alt 'I m m a'
_space_group_IT_number 74
_space_group_name_Hall '-I 2b 2'
loop_
_atom_site_label
_atom_site_fract_x
_atom_site_fract_y
_atom_site_fract_z
Cs1 0.000 0.250 0.135
Mg1 0.000 0.000 0.500
U1 0.250 0.250 0.750
O1 0.000 0.071 0.736
O2 0.192 0.250 0.531
# Total energy = -51.30 eV per formula unit
# Formation energy (no corrections) = -2.533 eV per atom


Entry 8:
# PBE-GGA Na12Tl7Cd, relaxed
data_Na12Tl7Cd
_cell_length_a 14.5401
_cell_length_b 14.5401
_cell_length_c 10.0996
_cell_angle_alpha 90.00
_cell_angle_beta 90.00
_cell_angle_gamma 120.00
_space_group_name_H-M_alt 'R -3'
_space_group_IT_number 148
_space_group_name_Hall '-R 3'
loop_
_atom_site_label
_atom_site_fract_x
_atom_site_fract_y
_atom_site_fract_z
Na1 0.0442 0.2473 0.4391
Na2 0.0475 0.7973 0.9342
Tl1 0.0000 0.0000 0.5000
Tl2 0.0057 0.8626 0.2416
Cd1 0.0000 0.0000 0.0000
# Total energy = -34.99 eV per formula unit
# ΔE_f = -84 meV per atom


Entry 9:
# PBE-GGA Na3ErBi2Te6, relaxed
data_Na3ErBi2Te6
_cell_length_a 7.762
_cell_length_b 13.454
_cell_length_c 8.025
_cell_angle_alpha 90.00
_cell_angle_beta 108.84
_cell_angle_gamma 90.00
_space_group_name_H-M_alt 'C 1 2/m 1'
_space_group_IT_number 12
_space_group_name_Hall '-C 2y'
loop_
_atom_site_label
_atom_site_fract_x
_atom_site_fract_y
_atom_site_fract_z
Na1 0.000 0.000 0.000
Na2 0.000 0.326 0.000
Er1 0.000 0.500 0.500
Bi1 0.000 0.166 0.500
Te1 0.241 0.337 0.733
Te2 0.248 0.500 0.264
# Total energy = -44.65 eV per formula unit
# Formation energy (no corrections) = -0.793 eV per atom


Entry 10:
# PBE-GGA As2S3, relaxed
data_As2S3
_cell_length_a 3.583
_cell_length_b 8.038
_cell_length_c 9.243
_cell_angle_alpha 96.56
_cell_angle_beta 90.01
_cell_angle_gamma 102.85
_space_group_name_H-M_alt 'P -1'
_space_group_IT_number 2
_space_group_name_Hall '-P 1'
loop_
_atom_site_label
_atom_site_fract_x
_atom_site_fract_y
_atom_site_fract_z
As1 0.130 0.259 0.435
As2 0.295 0.590 0.871
S1 0.157 0.314 0.940
S2 0.255 0.511 0.328
S3 0.443 0.886 0.697
# Total energy = -22.14 eV per formula unit
# Formation energy (no corrections) = -0.093 eV per atom